The following is a DFT calculation (PBE) of a geometry-optimized Ca2ZnSe structure.

Calculated values
Theoretical density: 3.7 Mg/m³
Energy above the most stable polymorph in this dataset: 0.211 eV/atom
Calculated total energy: -11.65 eV for the cell shown
Energy relative to the elements, uncorrected: -0.722 eV/atom

abc: 5.508 5.508 5.508
angles: 128.48 128.48 75.84
Fractional coordinates of all 4 atoms:
Se 0.250 0.750 0.500
Ca 0.000 0.000 0.000
Zn 0.750 0.250 0.500
Ca 0.500 0.500 0.000